# 1
Compound: RbTiZn3
Source: Alexandria
Functional: GGA-PBEsol
Structure: optimized geometry

a b c (Å): 5.171 5.171 5.171
angles (deg): 90.00 90.00 90.00
Positions (direct):
Zn (0.000, 0.000, 0.500)
Zn (0.000, 0.500, 0.000)
Zn (0.500, 0.000, 0.000)
Ti (0.000, 0.000, 0.000)
Rb (0.500, 0.500, 0.500)

Symmetry   Pm-3m
Formation energy from the elements   58.8 kJ/mol of atoms

# 2
Compound: YScRe2
Source: Alexandria
Functional: GGA-PBEsol
Structure: optimized geometry

a b c (Å): 4.630 4.630 4.630
angles (deg): 60.00 60.00 60.00
Positions (direct):
Y (0.750, 0.750, 0.750)
Re (0.250, 0.250, 0.250)
Re (0.000, 0.000, 0.000)
Sc (0.500, 0.500, 0.500)

Symmetry   F-43m
Formation energy from the elements   18.3 kJ/mol of atoms
Energy above the lowest structure with this stoichiometry   3 meV per atom

# 3
Compound: ScAlW
Source: Alexandria
Functional: GGA-PBEsol
Structure: optimized geometry

a b c (Å): 3.355 3.355 5.155
angles (deg): 108.99 108.99 90.00
Positions (direct):
Sc (0.670, 0.670, 0.341)
W (0.346, 0.346, 0.691)
Al (0.984, 0.984, 0.968)

Symmetry   I4mm
Formation energy from the elements   6.8 kJ/mol of atoms
Energy above the lowest structure with this stoichiometry   0 meV per atom

# 4
Compound: CrCoRh2
Source: Alexandria
Functional: GGA-PBEsol
Structure: optimized geometry

a b c (Å): 2.612 3.565 5.238
angles (deg): 90.00 90.00 90.00
Positions (direct):
Rh (0.000, 0.000, 0.751)
Rh (0.000, 0.000, 0.249)
Cr (0.500, 0.500, 0.500)
Co (0.500, 0.500, 0.000)

Symmetry   Pmmm
Formation energy from the elements   -1.4 kJ/mol of atoms

# 5
Compound: Sc2ICl
Source: Alexandria
Functional: GGA-PBEsol
Structure: optimized geometry

a b c (Å): 4.830 4.830 4.830
angles (deg): 60.00 60.00 60.00
Positions (direct):
Cl (0.000, 0.000, 0.000)
Sc (0.750, 0.750, 0.750)
Sc (0.250, 0.250, 0.250)
I (0.500, 0.500, 0.500)

Symmetry   Fm-3m
Formation energy from raw total energies   -717.8 meV per atom
Energy above the lowest structure with this stoichiometry   8 meV per atom

# 6
Compound: Sr2MgH6
Source: Alexandria
Functional: GGA-PBEsol
Structure: optimized geometry

a b c (Å): 4.146 5.413 5.413
angles (deg): 120.00 90.00 90.00
Positions (direct):
H (0.763, 0.821, 0.179)
H (0.763, 0.358, 0.179)
H (0.237, 0.642, 0.821)
H (0.237, 0.179, 0.358)
H (0.237, 0.179, 0.821)
H (0.763, 0.821, 0.642)
Sr (0.263, 0.667, 0.333)
Sr (0.737, 0.333, 0.667)
Mg (0.000, 0.000, 0.000)

Symmetry   P-3m1
Final energy   -3.26 eV/atom

Q: Which spin magnetization values were calculated for the entries above? A: 2.860 0.000 0.003 1.028 0.000 0.000, in μB/cell.